[1]
This record from Alexandria via LeMat-Bulk describes crystalline Rb2Pd2I at its relaxed geometry. The functional is GGA-PBE.

## Properties
ρ   5.63 g cm⁻³
Formation energy from raw total energies   -0.149 eV per atom

Geometry as CIF:
```
data_Rb2Pd2I
_chemical_formula_sum 'Rb4 Pd4 I2'
_space_group_name_H-M_alt 'P 4/m b m'
_space_group_IT_number 127
_space_group_name_Hall '-P 4 2ab'
_cell_length_a 7.577
_cell_length_b 7.577
_cell_length_c 5.249
_cell_angle_alpha 90.00
_cell_angle_beta 90.00
_cell_angle_gamma 90.00
loop_
_atom_site_label
_atom_site_type_symbol
_atom_site_fract_x
_atom_site_fract_y
_atom_site_fract_z
_atom_site_occupancy
Rb1 Rb 0.178 0.322 0.000 1
Pd1 Pd 0.129 0.629 0.500 1
I1 I 0.000 0.000 0.500 1
```


[2]
This record from Alexandria via LeMat-Bulk describes crystalline Rb2Na6Sn at its relaxed geometry. The functional is GGA-PBE.

## Properties
Formation enthalpy at 0 K   -0.033 eV/atom
ρ   1.87 g cm⁻³
Excess energy over the best structure of this formula in the dataset   0.0 meV per atom

Geometry as CIF:
```
data_Rb2Na6Sn
_chemical_formula_sum 'Rb4 Na12 Sn2'
_space_group_name_H-M_alt 'C 1 2/m 1'
_space_group_IT_number 12
_cell_length_a 12.699
_cell_length_b 7.330
_cell_length_c 8.390
_cell_angle_alpha 90.00
_cell_angle_beta 103.28
_cell_angle_gamma 90.00
loop_
_space_group_symop_operation_xyz
'x,y,z'
'-x,-y,-z'
'-x,y,-z'
'x,-y,z'
'x+1/2,y+1/2,z'
'-x+1/2,-y+1/2,-z'
'-x+1/2,y+1/2,-z'
'x+1/2,-y+1/2,z'
loop_
_atom_site_label
_atom_site_type_symbol
_atom_site_fract_x
_atom_site_fract_y
_atom_site_fract_z
_atom_site_occupancy
Rb1 Rb 0.151 0.000 0.390 1
Na1 Na 0.115 0.500 0.196 1
Na2 Na 0.129 0.257 0.828 1
Sn1 Sn 0.000 0.500 0.500 1
```


- Look up the ρ of the first one.
  5.63 g cm⁻³


- Which of these has the highest ρ?
  Rb2Pd2I


- What is the ρ in the first record?
  5.63 g cm⁻³